No. 1
Density functional theory data (PBE) for a geometry-optimized Zr4TaOs structure.

Calculated values
Spin magnetization ... 0.0 Bohr magnetons per cell
Symmetry ... No. 216
Formation energy ... 0.578 eV per atom

a b c (Å): 5.567 5.567 5.567
angles (deg): 60.00 60.00 60.00
Sites, in units of the cell vectors:
Zr: 0.125 0.125 0.125
Zr: 0.125 0.125 0.625
Zr: 0.125 0.625 0.125
Zr: 0.625 0.125 0.125
Ta: 0.500 0.500 0.500
Os: 0.750 0.750 0.750

---

No. 2
Density functional theory data (PBE) for a geometry-optimized ZrTiCoRh structure.

Calculated values
Spin magnetization ... 1.0 Bohr magnetons per cell
Symmetry ... No. 216
Formation energy ... -0.487 eV per atom

a b c (Å): 4.470 4.470 4.470
angles (deg): 60.00 60.00 60.00
Sites, in units of the cell vectors:
Zr: 0.000 0.000 0.000
Ti: 0.500 0.500 0.500
Co: 0.250 0.250 0.250
Rh: 0.750 0.750 0.750

---

No. 3
Density functional theory data (PBE) for a geometry-optimized La3Ce3Tl5 structure.

Calculated values
Spin magnetization ... 0.0 Bohr magnetons per cell
Symmetry ... No. 189
Formation energy ... 0.118 eV per atom

a b c (Å): 10.859 10.859 3.419
angles (deg): 90.00 90.00 120.00
Sites, in units of the cell vectors:
La: 0.000 0.395 0.000
La: 0.395 0.000 0.000
La: 0.605 0.605 0.000
Ce: 0.000 0.152 0.500
Ce: 0.152 0.000 0.500
Ce: 0.848 0.848 0.500
Tl: 0.000 0.657 0.500
Tl: 0.333 0.667 0.500
Tl: 0.343 0.343 0.500
Tl: 0.657 0.000 0.500
Tl: 0.667 0.333 0.500

---

No. 4
Density functional theory data (PBE) for a geometry-optimized CaVCu structure.

Calculated values
Spin magnetization ... 0.0 Bohr magnetons per cell
Symmetry ... No. 1
Energy above the most stable polymorph in this dataset ... 86 meV per atom
Formation energy ... 0.336 eV per atom

a b c (Å): 3.067 5.264 7.624
angles (deg): 107.28 92.17 99.45
Sites, in units of the cell vectors:
Ca: 0.000 0.000 0.000
Ca: 0.195 0.627 0.273
V: 0.603 0.233 0.459
V: 0.864 0.069 0.624
Cu: 0.209 0.637 0.659
Cu: 0.549 0.428 0.872

---

No. 5
Density functional theory data (PBE) for a geometry-optimized Tm2RhSe structure.

Calculated values
Spin magnetization ... 0.0 Bohr magnetons per cell
Symmetry ... No. 166
Uncorrected formation energy ... -4.94 eV per formula unit
Energy above the most stable polymorph in this dataset ... 0 meV per atom

a b c (Å): 7.379 7.379 7.379
angles (deg): 30.56 30.56 30.56
Sites, in units of the cell vectors:
Tm: 0.243 0.243 0.243
Tm: 0.757 0.757 0.757
Rh: 0.500 0.500 0.500
Se: 0.000 0.000 0.000

---

No. 6
Density functional theory data (PBE) for a geometry-optimized CsAlS6 structure.

Calculated values
Spin magnetization ... 0.0 Bohr magnetons per cell
Symmetry ... No. 2
Uncorrected formation energy ... -3.80 eV per formula unit

a b c (Å): 4.855 5.848 7.892
angles (deg): 87.64 88.57 65.88
Sites, in units of the cell vectors:
Cs: 0.000 0.000 0.000
Al: 0.500 0.500 0.500
S: 0.215 0.449 0.741
S: 0.220 0.951 0.521
S: 0.248 0.394 0.273
S: 0.752 0.606 0.727
S: 0.780 0.049 0.479
S: 0.785 0.551 0.259

---

No. 7
Density functional theory data (PBE) for a geometry-optimized Hf2GaPb structure.

Calculated values
Spin magnetization ... 0.0 Bohr magnetons per cell
Symmetry ... No. 160
Energy above the most stable polymorph in this dataset ... 29 meV per atom
Formation energy ... -0.074 eV per atom

a b c (Å): 9.632 9.632 9.632
angles (deg): 19.52 19.52 19.52
Sites, in units of the cell vectors:
Hf: 0.000 0.000 0.000
Hf: 0.179 0.179 0.179
Ga: 0.589 0.589 0.589
Pb: 0.756 0.756 0.756

---

No. 8
Density functional theory data (PBE) for a geometry-optimized AgHgP2O structure.

Calculated values
Spin magnetization ... 0.0 Bohr magnetons per cell
Symmetry ... No. 123
Uncorrected formation energy ... 4.40 eV per formula unit
Energy above the most stable polymorph in this dataset ... 0 meV per atom

a b c (Å): 4.954 4.954 3.963
angles (deg): 90.00 90.00 90.00
Sites, in units of the cell vectors:
Ag: 0.000 0.000 0.000
Hg: 0.500 0.500 0.500
P: 0.000 0.500 0.000
P: 0.500 0.000 0.000
O: 0.000 0.000 0.500

---

No. 9
Density functional theory data (PBE) for a geometry-optimized FeMo2HPt structure.

Calculated values
Spin magnetization ... 0.0 Bohr magnetons per cell
Symmetry ... No. 123
Calculated total energy ... -7.960 eV per atom

a b c (Å): 3.910 3.910 3.884
angles (deg): 90.00 90.00 90.00
Sites, in units of the cell vectors:
Fe: 0.000 0.000 0.000
Mo: 0.000 0.500 0.500
Mo: 0.500 0.000 0.500
H: 0.000 0.000 0.500
Pt: 0.500 0.500 0.000

---

No. 10
Density functional theory data (PBE) for a geometry-optimized BSb2Pt structure.

Calculated values
Spin magnetization ... 0.0 Bohr magnetons per cell
Symmetry ... No. 122
Uncorrected formation energy ... 0.71 eV per formula unit

a b c (Å): 6.618 6.618 6.618
angles (deg): 127.51 127.51 77.41
Sites, in units of the cell vectors:
B: 0.000 0.000 0.000
B: 0.750 0.250 0.500
Sb: 0.079 0.625 0.954
Sb: 0.375 0.329 0.454
Sb: 0.671 0.125 0.046
Sb: 0.875 0.921 0.546
Pt: 0.250 0.750 0.500
Pt: 0.500 0.500 0.000

---

No. 11
Density functional theory data (PBE) for a geometry-optimized VGeH2 structure.

Calculated values
Spin magnetization ... 0.1 Bohr magnetons per cell
Symmetry ... No. 122
Energy above the most stable polymorph in this dataset ... 15 meV per atom

a b c (Å): 4.634 4.634 4.634
angles (deg): 107.21 107.21 114.10
Sites, in units of the cell vectors:
V: 0.000 0.000 0.000
V: 0.750 0.250 0.500
Ge: 0.250 0.750 0.500
Ge: 0.500 0.500 0.000
H: 0.033 0.625 0.908
H: 0.375 0.283 0.408
H: 0.717 0.125 0.092
H: 0.875 0.967 0.592

---

No. 12
Density functional theory data (PBE) for a geometry-optimized Tb3Th5P8 structure.

Calculated values
Spin magnetization ... 0.0 Bohr magnetons per cell
Symmetry ... No. 166
Formation energy ... -1.576 eV per atom

a b c (Å): 8.193 8.193 8.193
angles (deg): 60.17 60.17 60.17
Sites, in units of the cell vectors:
Tb: 0.000 0.500 0.500
Tb: 0.500 0.000 0.500
Tb: 0.500 0.500 0.000
Th: 0.000 0.000 0.000
Th: 0.000 0.000 0.500
Th: 0.000 0.500 0.000
Th: 0.500 0.000 0.000
Th: 0.500 0.500 0.500
P: 0.250 0.250 0.746
P: 0.250 0.746 0.250
P: 0.252 0.252 0.252
P: 0.254 0.750 0.750
P: 0.746 0.250 0.250
P: 0.748 0.748 0.748
P: 0.750 0.254 0.750
P: 0.750 0.750 0.254

---

> spin magnetization of number 8 (AgHgP2O)?

0.0 Bohr magnetons per cell